[1]
Material: ZnMo2As
Method: DFT, PBE-GGA
State: optimized geometry

Unit cell a=3.074 b=3.074 c=6.474 alpha=90.00 beta=90.00 gamma=90.00
Element x y z (fractional)
Zn  0.000  0.000  0.000
Mo  0.500  0.500  0.269
Mo  0.500  0.500  0.731
As  0.000  0.000  0.500

Output
E_form   0.181 eV/atom
Raw total energy   -26.9 eV for the cell shown
DOS(E_F)   5.31 states/eV/f.u.
V   15.296 A^3/atom

[2]
Material: Dy3Ho2Ag2
Method: DFT, PBE-GGA
State: optimized geometry

Unit cell a=15.006 b=15.006 c=15.006 alpha=166.27 beta=166.27 gamma=19.47
Element x y z (fractional)
Dy  0.000  0.000  0.000
Dy  0.125  0.125  0.000
Dy  0.875  0.875  0.000
Ho  0.291  0.291  0.000
Ho  0.709  0.709  0.000
Ag  0.438  0.438  0.000
Ag  0.562  0.562  0.000

Output
E_form   -0.167 eV/atom
Raw total energy   -29.8 eV for the cell shown
DOS(E_F)   6.71 states/eV/f.u.
V   27.203 A^3/atom

[3]
Material: PmTlGeO4
Method: DFT, PBE-GGA
State: optimized geometry

Unit cell a=6.060 b=5.952 c=7.732 alpha=90.00 beta=105.06 gamma=90.00
Element x y z (fractional)
Pm  0.206  0.250  0.058
Pm  0.794  0.750  0.942
Tl  0.331  0.250  0.604
Tl  0.669  0.750  0.396
Ge  0.269  0.750  0.850
Ge  0.731  0.250  0.150
O  0.072  0.522  0.837
O  0.072  0.978  0.837
O  0.453  0.750  0.706
O  0.463  0.750  0.067
O  0.537  0.250  0.933
O  0.547  0.250  0.294
O  0.928  0.022  0.163
O  0.928  0.478  0.163

Output
Raw total energy   -92.3 eV for the cell shown
DOS(E_F)   0.00 states/eV/f.u.
V   19.238 A^3/atom

[4]
Material: Pr3CuNi3
Method: DFT, PBE-GGA
State: optimized geometry

Unit cell a=5.515 b=5.515 c=13.291 alpha=90.00 beta=90.00 gamma=134.90
Element x y z (fractional)
Pr  0.004  0.996  0.750
Pr  0.287  0.713  0.603
Pr  0.287  0.713  0.897
Pr  0.713  0.287  0.103
Pr  0.713  0.287  0.397
Pr  0.996  0.004  0.250
Cu  0.000  0.000  0.000
Cu  0.000  0.000  0.500
Ni  0.291  0.709  0.250
Ni  0.427  0.573  0.087
Ni  0.427  0.573  0.413
Ni  0.573  0.427  0.587
Ni  0.573  0.427  0.913
Ni  0.709  0.291  0.750

Output
E_form   -0.274 eV/atom
Raw total energy   -75.4 eV for the cell shown
DOS(E_F)   5.16 states/eV/f.u.
V   20.452 A^3/atom

[5]
Material: ZrAlCd4
Method: DFT, PBE-GGA
State: optimized geometry

Unit cell a=5.725 b=5.725 c=5.725 alpha=60.00 beta=60.00 gamma=60.00
Element x y z (fractional)
Zr  0.000  0.000  0.000
Al  0.750  0.750  0.750
Cd  0.375  0.375  0.375
Cd  0.375  0.375  0.876
Cd  0.375  0.876  0.375
Cd  0.876  0.375  0.375

Output
E_form   0.244 eV/atom
Raw total energy   -14.5 eV for the cell shown
DOS(E_F)   5.44 states/eV/f.u.
V   22.114 A^3/atom

[6]
Material: Si2TcPb
Method: DFT, PBE-GGA
State: optimized geometry

Unit cell a=4.442 b=4.442 c=5.824 alpha=95.99 beta=95.99 gamma=43.68
Element x y z (fractional)
Si  0.000  0.000  0.000
Si  0.226  0.226  0.749
Tc  0.509  0.509  0.698
Pb  0.762  0.762  0.334

Output
Raw total energy   -24.1 eV for the cell shown
DOS(E_F)   1.99 states/eV/f.u.
V   19.716 A^3/atom

[7]
Material: PmMgCuBi
Method: DFT, PBE-GGA
State: optimized geometry

Unit cell a=5.192 b=5.192 c=5.192 alpha=60.00 beta=60.00 gamma=60.00
Element x y z (fractional)
Pm  0.000  0.000  0.000
Mg  0.500  0.500  0.500
Cu  0.250  0.250  0.250
Bi  0.750  0.750  0.750

Output
E_form   -0.166 eV/atom
Raw total energy   -15.0 eV for the cell shown
DOS(E_F)   4.25 states/eV/f.u.
V   24.735 A^3/atom

[8]
Material: VNi2Br2
Method: DFT, PBE-GGA
State: optimized geometry

Unit cell a=5.068 b=5.068 c=5.068 alpha=121.41 beta=121.41 gamma=87.57
Element x y z (fractional)
V  0.000  0.000  0.000
Ni  0.329  0.329  0.000
Ni  0.671  0.671  0.000
Br  0.250  0.750  0.500
Br  0.750  0.250  0.500

Output
Raw total energy   -20.9 eV for the cell shown
DOS(E_F)   4.98 states/eV/f.u.
V   17.994 A^3/atom

[9]
Material: BaCuAsPd
Method: DFT, PBE-GGA
State: optimized geometry

Unit cell a=3.965 b=3.965 c=11.848 alpha=90.00 beta=90.00 gamma=90.00
Element x y z (fractional)
Ba  0.250  0.250  0.224
Ba  0.750  0.750  0.776
Cu  0.250  0.750  0.500
Cu  0.750  0.250  0.500
As  0.250  0.250  0.624
As  0.750  0.750  0.376
Pd  0.250  0.750  0.000
Pd  0.750  0.250  0.000

Output
E_form   -0.417 eV/atom
Raw total energy   -35.1 eV for the cell shown
DOS(E_F)   3.37 states/eV/f.u.
V   23.285 A^3/atom

[10]
Material: La8AsAu3I4
Method: DFT, PBE-GGA
State: optimized geometry

Unit cell a=9.282 b=9.282 c=9.282 alpha=57.40 beta=57.40 gamma=57.40
Element x y z (fractional)
La  0.235  0.235  0.235
La  0.242  0.736  0.736
La  0.264  0.264  0.758
La  0.264  0.758  0.264
La  0.736  0.242  0.736
La  0.736  0.736  0.242
La  0.758  0.264  0.264
La  0.765  0.765  0.765
As  0.500  0.500  0.500
Au  0.000  0.000  0.500
Au  0.000  0.500  0.000
Au  0.500  0.000  0.000
I  0.000  0.000  0.000
I  0.000  0.500  0.500
I  0.500  0.000  0.500
I  0.500  0.500  0.000

Output
Raw total energy   -76.5 eV for the cell shown
DOS(E_F)   15.84 states/eV/f.u.
V   33.231 A^3/atom

[11]
Material: TmZrAsSe
Method: DFT, PBE-GGA
State: optimized geometry

Unit cell a=7.268 b=7.268 c=7.268 alpha=30.69 beta=30.69 gamma=30.69
Element x y z (fractional)
Tm  0.000  0.000  0.000
Zr  0.181  0.181  0.181
As  0.587  0.587  0.587
Se  0.761  0.761  0.761

Output
Raw total energy   -26.6 eV for the cell shown
DOS(E_F)   1.70 states/eV/f.u.
V   22.154 A^3/atom

[12]
Material: TbNdPd4
Method: DFT, PBE-GGA
State: optimized geometry

Unit cell a=5.493 b=5.493 c=5.493 alpha=60.00 beta=60.00 gamma=60.00
Element x y z (fractional)
Tb  0.000  0.000  0.000
Nd  0.250  0.250  0.250
Pd  0.124  0.625  0.625
Pd  0.625  0.124  0.625
Pd  0.625  0.625  0.124
Pd  0.625  0.625  0.625

Output
E_form   -0.785 eV/atom
Raw total energy   -34.9 eV for the cell shown
DOS(E_F)   1.49 states/eV/f.u.
V   19.528 A^3/atom

Q: Look up the raw total energy of the tenth one.
A: -76.5 eV for the cell shown

Q: Look up the raw total energy of the fourth one.
A: -75.4 eV for the cell shown